The following is a DFT calculation (PBE) of crystalline Pm7Dy3Tm2 at its relaxed geometry.

As for the energy above the lowest structure with this stoichiometry: 0.0 meV per atom. For the formation energy from the elements, the calculation gives 0.077 eV per atom. The calculated volume is 33.3 Å³ per atom. As for the density of states at the Fermi level: 1.492 states/eV/atom. As for the total energy: -4.5905 eV per atom.

a b c (Å): 3.571 6.436 17.361
angles (deg): 90.27 90.00 90.00
Fractional coordinates of all 12 atoms:
Tm 0.500 0.489 0.671
Tm 0.500 0.511 0.329
Dy 0.000 0.000 0.341
Dy 0.000 0.000 0.659
Dy 0.500 0.500 0.000
Pm 0.500 0.242 0.494
Pm 0.500 0.758 0.506
Pm 0.000 0.677 0.168
Pm 0.500 0.823 0.830
Pm 0.500 0.177 0.170
Pm 0.000 0.000 0.000
Pm 0.000 0.323 0.832